Version a
LiAl2Br | GGA-PBE | optimized geometry

Unit cell a=8.2934 b=8.2934 c=6.4405 alpha=49.92 beta=49.92 gamma=90.00
With the nearest neighbours (Å) after each atom.
Atoms (fractional coordinates):
1 Li 0.5000 0.5000 0.0000  2 Br 2.66
2 Li 0.2500 0.7500 0.5000  2 Br 2.66
3 Al 0.3750 0.3769 0.7500  2 Al 2.66
4 Br 0.0000 0.0000 0.0000  2 Li 2.66
5 Al 0.6231 0.1250 0.2500  2 Al 2.66
6 Br 0.7500 0.2500 0.5000  2 Li 2.66
7 Al 0.1269 0.6250 0.2500  2 Al 2.66
8 Al 0.8750 0.8731 0.7500  2 Al 2.66

Calculated values
Fermi-level density of states ... 4.4 states/eV per cell
Space group ... I-42d, No. 122


Version b
LiAl2Br | GGA-PBE | optimized geometry

Unit cell a=5.3663 b=5.3663 c=5.3663 alpha=131.09 beta=131.09 gamma=71.66
With the nearest neighbours (Å) after each atom.
Atoms (fractional coordinates):
1 Al 0.0000 0.0000 0.0000  4 Li 3.11, 4 Al 3.11, 4 Br 3.14
2 Al 0.2500 0.7500 0.5000  4 Br 3.11, 4 Al 3.11, 4 Li 3.14
3 Li 0.7500 0.2500 0.5000  4 Br 3.11, 8 Al 3.11-3.14
4 Br 0.5000 0.5000 0.0000  4 Li 3.11, 8 Al 3.11-3.14

Calculated values
Fermi-level density of states ... 1.2 states/eV per cell
Space group ... I-4m2, No. 119


Version c
LiAl2Br | GGA-PBE | optimized geometry

Unit cell a=8.2125 b=3.7309 c=3.7309 alpha=90.00 beta=90.00 gamma=90.00
With the nearest neighbours (Å) after each atom.
Atoms (fractional coordinates):
1 Br 0.5000 0.5000 0.0000  4 Li 2.64
2 Al 0.0000 0.5000 0.5000  4 Al 2.64
3 Li 0.5000 0.0000 0.5000  4 Br 2.64
4 Al 0.0000 0.0000 0.0000  4 Al 2.64

Calculated values
Fermi-level density of states ... 2.2 states/eV per cell
Space group ... P4/mmm, No. 123


Version d
LiAl2Br | GGA-PBE | optimized geometry

Unit cell a=3.3240 b=5.4515 c=5.0695 alpha=90.00 beta=90.00 gamma=90.00
With the nearest neighbours (Å) after each atom.
Atoms (fractional coordinates):
1 Al 0.0000 0.0000 0.9976  2 Al 2.51-2.56
2 Br 0.5000 0.5000 0.2500  2 Li 2.53
3 Li 0.5000 0.5000 0.7500  2 Br 2.53
4 Al 0.0000 0.0000 0.5024  2 Al 2.51-2.56

Calculated values
Fermi-level density of states ... 2.5 states/eV per cell
Space group ... Pmmm, No. 47


Name the most stable of them. version c.


Version a
LiAl2Br | GGA-PBE | optimized geometry

Unit cell a=8.6821 b=8.6821 c=8.6821 alpha=22.15 beta=22.15 gamma=22.15
With the nearest neighbours (Å) after each atom.
Atoms (fractional coordinates):
1 Al 0.0032 0.0032 0.0032  3 Li 2.80, 3 Br 2.92
2 Li 0.7500 0.7500 0.7500  6 Al 2.80
3 Br 0.2500 0.2500 0.2500  6 Al 2.92
4 Al 0.4968 0.4968 0.4968  3 Li 2.80, 3 Br 2.92

Calculated values
Fermi-level density of states ... 2.6 states/eV per cell
Space group ... R-3m, No. 166


Version b
LiAl2Br | GGA-PBE | optimized geometry

Unit cell a=5.2177 b=5.2177 c=3.1897 alpha=90.00 beta=90.00 gamma=90.00
With the nearest neighbours (Å) after each atom.
Atoms (fractional coordinates):
1 Br 0.5000 0.0000 0.5000  8 Al 3.06, 2 Br 3.19
2 Al 0.5000 0.5000 0.0000  4 Br 3.06, 4 Li 3.06, 2 Al 3.19
3 Al 0.0000 0.0000 0.0000  4 Li 3.06, 4 Br 3.06, 2 Al 3.19
4 Li 0.0000 0.5000 0.5000  8 Al 3.06, 2 Li 3.19

Calculated values
Fermi-level density of states ... 1.5 states/eV per cell
Space group ... P4/mmm, No. 123


Name the most stable of them. version a.


Version a
LiAl2Br | GGA-PBE | optimized geometry

Unit cell a=5.8390 b=5.8390 c=5.8390 alpha=147.75 beta=125.91 gamma=64.39
With the nearest neighbours (Å) after each atom.
Atoms (fractional coordinates):
1 Li 0.2583 0.7583 0.5000  2 Br 2.51
2 Br 0.4520 0.4520 0.0000  2 Li 2.51
3 Al 0.0162 0.0162 0.0000  2 Li 2.89, 2 Al 2.89, 4 Br 3.18
4 Al 0.7736 0.2736 0.5000  2 Al 2.89, 4 Li 3.11, 2 Br 3.19

Calculated values
Fermi-level density of states ... 1.3 states/eV per cell
Space group ... Imm2, No. 44


Version b
LiAl2Br | GGA-PBE | optimized geometry

Unit cell a=3.2646 b=3.2646 c=8.6998 alpha=90.00 beta=90.00 gamma=115.86
With the nearest neighbours (Å) after each atom.
Atoms (fractional coordinates):
1 Br 0.5000 0.5000 0.2500  4 Al 2.83
2 Li 0.5000 0.5000 0.7500  4 Al 2.73
3 Al 0.0000 0.0000 0.9931  2 Li 2.73, 2 Br 2.83
4 Al 0.0000 0.0000 0.5069  2 Li 2.73, 2 Br 2.83

Calculated values
Fermi-level density of states ... 1.3 states/eV per cell
Space group ... Cmmm, No. 65


Version c
LiAl2Br | GGA-PBE | optimized geometry

Unit cell a=5.5821 b=5.5821 c=3.2402 alpha=90.00 beta=90.00 gamma=122.00
With the nearest neighbours (Å) after each atom.
Atoms (fractional coordinates):
1 Li 0.0000 0.5000 0.5000  2 Br 2.71
2 Al 0.0000 0.0000 0.0000  2 Al 2.71
3 Br 0.5000 0.0000 0.5000  2 Li 2.71
4 Al 0.5000 0.5000 0.0000  2 Al 2.71

Calculated values
Fermi-level density of states ... 1.0 states/eV per cell
Space group ... Cmmm, No. 65


Name the most stable of them. version a.


Version a
Li2AlBr | GGA-PBE | optimized geometry

Unit cell a=6.6835 b=3.8608 c=3.6204 alpha=90.01 beta=90.00 gamma=90.00
With the nearest neighbours (Å) after each atom.
Atoms (fractional coordinates):
1 Br 0.5000 0.6394 0.7240  4 Li 2.61-2.68
2 Al 0.0000 0.6103 0.5230  4 Li 2.63-2.67
3 Li 0.0000 0.1094 0.0161  4 Al 2.63-2.67
4 Li 0.5000 0.1408 0.2370  4 Br 2.61-2.68

Calculated values
Fermi-level density of states ... 1.0 states/eV per cell
Space group ... Pm, No. 6


Version b
Li2AlBr | GGA-PBE | optimized geometry

Unit cell a=3.2758 b=3.2758 c=7.3345 alpha=90.00 beta=90.00 gamma=90.00
With the nearest neighbours (Å) after each atom.
Atoms (fractional coordinates):
1 Br 0.5000 0.5000 0.7500  8 Li 2.83
2 Al 0.5000 0.5000 0.2500  8 Li 3.08, 4 Al 3.28
3 Li 0.0000 0.0000 0.9727  4 Br 2.83, 4 Al 3.08
4 Li 0.0000 0.0000 0.5273  4 Br 2.83, 4 Al 3.08

Calculated values
Fermi-level density of states ... 0.9 states/eV per cell
Space group ... P4/mmm, No. 123


Name the most stable of them. version b.


Version a
Li2AlBr | GGA-PBE | optimized geometry

Unit cell a=5.0656 b=5.0656 c=3.3100 alpha=89.70 beta=89.70 gamma=108.15
With the nearest neighbours (Å) after each atom.
Atoms (fractional coordinates):
1 Li 0.0000 0.0000 0.0000  4 Li 2.97-3.31, 4 Al 3.02-3.03, 4 Br 3.02-3.03
2 Li 0.5000 0.5000 0.0000  4 Li 2.97-3.31, 4 Br 3.02-3.03, 4 Al 3.02-3.03
3 Br 0.0000 0.5000 0.5000  2 Al 2.97, 8 Li 3.02-3.03, 2 Br 3.31
4 Al 0.5000 0.0000 0.5000  2 Br 2.97, 8 Li 3.02-3.03, 2 Al 3.31

Calculated values
Fermi-level density of states ... 1.0 states/eV per cell
Space group ... C2/m, No. 12


Version b
Li2AlBr | GGA-PBE | optimized geometry

Unit cell a=5.1571 b=5.1571 c=5.1571 alpha=60.00 beta=60.00 gamma=60.00
With the nearest neighbours (Å) after each atom.
Atoms (fractional coordinates):
1 Al 0.5000 0.5000 0.5000  4 Br 3.16, 4 Li 3.16
2 Br 0.2500 0.2500 0.2500  4 Al 3.16, 4 Li 3.16
3 Li 0.7500 0.7500 0.7500  4 Li 3.16, 4 Al 3.16
4 Li 0.0000 0.0000 0.0000  4 Li 3.16, 4 Br 3.16

Calculated values
Fermi-level density of states ... 2.7 states/eV per cell
Space group ... F-43m, No. 216


Version c
Li2AlBr | GGA-PBE | optimized geometry

Unit cell a=8.1356 b=8.1356 c=3.3896 alpha=78.06 beta=78.06 gamma=23.20
With the nearest neighbours (Å) after each atom.
Atoms (fractional coordinates):
1 Li 0.9300 0.9300 0.0669  2 Br 2.63
2 Al 0.5529 0.5529 0.4445  6 Li 3.03-3.10, 4 Al 3.27-3.39
3 Br 0.2978 0.2978 0.2050  6 Li 2.63-2.66
4 Li 0.7193 0.7193 0.7835  4 Br 2.65-2.66

Calculated values
Fermi-level density of states ... 1.7 states/eV per cell
Space group ... Cm, No. 8


Version d
Li2AlBr | GGA-PBE | optimized geometry

Unit cell a=3.3811 b=4.9027 c=4.9027 alpha=90.00 beta=90.00 gamma=90.00
With the nearest neighbours (Å) after each atom.
Atoms (fractional coordinates):
1 Br 0.5000 0.0000 0.5000  8 Li 2.98
2 Al 0.5000 0.5000 0.0000  8 Li 2.98
3 Li 0.0000 0.0000 0.0000  4 Br 2.98, 4 Al 2.98
4 Li 0.0000 0.5000 0.5000  4 Br 2.98, 4 Al 2.98

Calculated values
Fermi-level density of states ... 1.3 states/eV per cell
Space group ... P4/mmm, No. 123


Name the most stable of them. version c.